A relaxed structure of NpNiSnPt, computed with GGA-PBE.

Cell: 4.7423 4.7423 4.7423 Å, 60.00 60.00 60.00°
Last column: nearest neighbours and their distance in Å.
Atoms (fractional coordinates):
Np 0.0000 0.0000 0.0000  4 Ni 2.90, 4 Pt 2.90
Ni 0.7500 0.7500 0.7500  4 Sn 2.90, 4 Np 2.90
Sn 0.5000 0.5000 0.5000  4 Ni 2.90, 4 Pt 2.90
Pt 0.2500 0.2500 0.2500  4 Sn 2.90, 4 Np 2.90

Results
Calculated volume (A^3/atom): 18.85
Energy relative to the elements (eV/atom): -0.28